(1)
The following is a DFT calculation (PBE-GGA) of an optimized crystal structure of YBH3.

Summary:
space-group type	No. 221
electronic total energy	-0.1640	Ha/atom
calculated volume	7.51	Å³/atom
density of states at the Fermi level	0.38	states/eV/atom

Cell: 3.349 3.349 3.349 Å, 90.00 90.00 90.00°
Fractional positions:
Y (0.000, 0.000, 0.000)
B (0.500, 0.500, 0.500)
H (0.000, 0.500, 0.500)
H (0.500, 0.000, 0.500)
H (0.500, 0.500, 0.000)

=====

(2)
The following is a DFT calculation (PBE-GGA) of an optimized crystal structure of Ca2MgSb.

Summary:
space-group type	No. 160
electronic total energy	-0.1005	Ha/atom
formation energy (no corrections)	-0.304	eV/atom
calculated volume	35.87	Å³/atom
density of states at the Fermi level	0.64	states/eV/atom

Cell: 8.450 8.450 8.450 Å, 31.18 31.18 31.18°
Fractional positions:
Ca (0.000, 0.000, 0.000)
Ca (0.204, 0.204, 0.204)
Mg (0.451, 0.451, 0.451)
Sb (0.744, 0.744, 0.744)

=====

(3)
The following is a DFT calculation (PBE-GGA) of an optimized crystal structure of NbSi2IrS.

Summary:
space-group type	No. 123
electronic total energy	-0.2015	Ha/atom
formation energy (no corrections)	1.298	eV/atom
calculated volume	22.61	Å³/atom
density of states at the Fermi level	1.04	states/eV/atom

Cell: 4.832 4.832 4.844 Å, 90.00 90.00 90.00°
Fractional positions:
Nb (0.000, 0.000, 0.000)
Si (0.000, 0.500, 0.000)
Si (0.500, 0.000, 0.000)
Ir (0.000, 0.000, 0.500)
S (0.500, 0.500, 0.500)

=====

(4)
The following is a DFT calculation (PBE-GGA) of an optimized crystal structure of Y4Tl2N.

Summary:
space-group type	No. 11
electronic total energy	-0.2288	Ha/atom
formation energy (no corrections)	-0.666	eV/atom
calculated volume	27.32	Å³/atom
density of states at the Fermi level	0.82	states/eV/atom

Cell: 6.501 6.946 8.973 Å, 90.00 109.28 90.00°
Fractional positions:
Y (0.028, 0.005, 0.277)
Y (0.028, 0.495, 0.277)
Y (0.358, 0.750, 0.049)
Y (0.420, 0.750, 0.651)
Y (0.580, 0.250, 0.349)
Y (0.642, 0.250, 0.951)
Y (0.972, 0.505, 0.723)
Y (0.972, 0.995, 0.723)
Tl (0.197, 0.250, 0.025)
Tl (0.313, 0.250, 0.591)
Tl (0.687, 0.750, 0.409)
Tl (0.803, 0.750, 0.975)
N (0.199, 0.750, 0.793)
N (0.801, 0.250, 0.207)

=====

(5)
The following is a DFT calculation (PBE-GGA) of an optimized crystal structure of Ga2AgRu.

Summary:
space-group type	No. 225
electronic total energy	-0.1677	Ha/atom
calculated volume	15.55	Å³/atom
density of states at the Fermi level	0.61	states/eV/atom
formation energy	-19	meV per atom

Cell: 4.448 4.448 4.448 Å, 60.00 60.00 60.00°
Fractional positions:
Ga (0.250, 0.250, 0.250)
Ga (0.750, 0.750, 0.750)
Ag (0.000, 0.000, 0.000)
Ru (0.500, 0.500, 0.500)

=====

(6)
The following is a DFT calculation (PBE-GGA) of an optimized crystal structure of Ho2Mg2Zn.

Summary:
space-group type	No. 65
electronic total energy	-0.1014	Ha/atom
calculated volume	24.43	Å³/atom
density of states at the Fermi level	1.03	states/eV/atom
formation energy	-35	meV per atom

Cell: 8.091 8.091 3.317 Å, 90.00 90.00 145.77°
Fractional positions:
Ho (0.102, 0.898, 0.000)
Ho (0.898, 0.102, 0.000)
Mg (0.301, 0.699, 0.500)
Mg (0.699, 0.301, 0.500)
Zn (0.500, 0.500, 0.500)

=====

(7)
The following is a DFT calculation (PBE-GGA) of an optimized crystal structure of Ba4Np.

Summary:
space-group type	No. 221
electronic total energy	-0.1241	Ha/atom
calculated volume	61.78	Å³/atom
density of states at the Fermi level	4.12	states/eV/atom
formation energy	749	meV per atom

Cell: 6.760 6.760 6.760 Å, 90.00 90.00 90.00°
Fractional positions:
Ba (0.000, 0.000, 0.000)
Ba (0.000, 0.500, 0.500)
Ba (0.500, 0.000, 0.500)
Ba (0.500, 0.500, 0.000)
Np (0.500, 0.500, 0.500)

=====

(8)
The following is a DFT calculation (PBE-GGA) of an optimized crystal structure of YTm2Hg.

Summary:
space-group type	No. 166
electronic total energy	-0.1502	Ha/atom
calculated volume	29.00	Å³/atom
density of states at the Fermi level	1.03	states/eV/atom
formation energy	-161	meV per atom

Cell: 10.666 10.666 10.666 Å, 19.31 19.31 19.31°
Fractional positions:
Y (0.000, 0.000, 0.000)
Tm (0.242, 0.242, 0.242)
Tm (0.758, 0.758, 0.758)
Hg (0.500, 0.500, 0.500)